1:
First-principles (PBE) data for a relaxed structure of TcMo3H, as listed in Alexandria via LeMat-Bulk.

The value obtained for the total magnetic moment is 0.0 μB/cell.

The structure belongs to space group Pm-3m (No. 221); the cell edges are 4.6998, 4.6998 and 4.6998 Å and the angles 90.00°, 90.00° and 90.00°. Symmetry generates all atoms from Tc at (0.0000, 0.0000, 0.0000), Mo at (0.0000, 0.0000, 0.5000) and H at (0.5000, 0.5000, 0.5000).

2:
First-principles (PBE) data for a relaxed structure of TcMo3H, as listed in Alexandria via LeMat-Bulk.

The value obtained for the total magnetic moment is 0.0 μB/cell.

The structure belongs to space group Pm-3m (No. 221); the cell edges are 4.0116, 4.0116 and 4.0116 Å and the angles 90.00°, 90.00° and 90.00°. Symmetry generates all atoms from Tc at (0.0000, 0.0000, 0.0000), Mo at (0.0000, 0.5000, 0.5000) and H at (0.5000, 0.5000, 0.5000).

Which structure is the least stable? The one labeled 1.

1:
First-principles (PBE) data for a relaxed structure of TcMoH3, as listed in Alexandria via LeMat-Bulk.

The value obtained for the total magnetic moment is 0.0 μB/cell.

The structure belongs to space group Pm-3m (No. 221); the cell edges are 3.4263, 3.4263 and 3.4263 Å and the angles 90.00°, 90.00° and 90.00°. Symmetry generates all atoms from Tc at (0.0000, 0.0000, 0.0000), Mo at (0.5000, 0.5000, 0.5000) and H at (0.0000, 0.0000, 0.5000).

2:
First-principles (PBE) data for a relaxed structure of TcMoH3, as listed in Alexandria via LeMat-Bulk.

The value obtained for the total magnetic moment is 0.0 μB/cell.

The structure belongs to space group Pm-3m (No. 221); the cell edges are 3.4450, 3.4450 and 3.4450 Å and the angles 90.00°, 90.00° and 90.00°. Symmetry generates all atoms from Tc at (0.0000, 0.0000, 0.0000), Mo at (0.5000, 0.5000, 0.5000) and H at (0.0000, 0.5000, 0.5000).

Which structure is the least stable? The one labeled 2.